Material: UTe2Pd
Method: DFT, PBE
State: optimized geometry

Lattice parameters (Å, degrees): 7.3841 7.3841 7.3841 32.65 32.65 32.65
With the nearest neighbours (Å) after each atom.
Atoms (fractional coordinates):
U (0.0000, 0.0000, 0.0000)  6 Te 3.07-3.10
Te (0.5728, 0.5728, 0.5728)  3 Pd 2.83, 3 U 3.10
Te (0.7584, 0.7584, 0.7584)  3 Pd 2.88, 3 U 3.07
Pd (0.1676, 0.1676, 0.1676)  6 Te 2.83-2.88

Output
**Symmetry**: R3m (160)
**Volume**: 104.2 Å³ per cell
**Spin magnetization**: 2.33 μB/cell
**Offset from the most stable computed form**: 0.1847 eV per atom
**Formation energy (no corrections)**: -0.358 eV/atom

---

Material: TiMnC3
Method: DFT, PBE
State: optimized geometry

Lattice parameters (Å, degrees): 3.9496 3.9496 3.9496 90.00 90.00 90.00
With the nearest neighbours (Å) after each atom.
Atoms (fractional coordinates):
Ti (0.0000, 0.0000, 0.0000)  6 C 1.97
Mn (0.5000, 0.5000, 0.5000)  12 C 2.79
C (0.0000, 0.0000, 0.5000)  2 Ti 1.97
C (0.0000, 0.5000, 0.0000)  2 Ti 1.97
C (0.5000, 0.0000, 0.0000)  2 Ti 1.97

Output
**Symmetry**: Pm-3m (221)
**Volume**: 61.6 Å³ per cell
**Energy of formation**: 2.3093 eV per atom
**Spin magnetization**: 0.24 μB/cell
**Offset from the most stable computed form**: 0.9715 eV per atom

---

Material: Tb2Si2Pt3
Method: DFT, PBE
State: optimized geometry

Lattice parameters (Å, degrees): 5.5214 5.5214 7.0644 113.95 113.95 41.17
With the nearest neighbours (Å) after each atom.
Atoms (fractional coordinates):
Tb (0.1343, 0.1343, 0.2703)  4 Si 2.93-3.11, 6 Pt 3.01-3.21
Tb (0.8657, 0.8657, 0.7297)  4 Si 2.93-3.11, 6 Pt 3.01-3.21
Si (0.1509, 0.1509, 0.7210)  5 Pt 2.52-2.56
Si (0.8491, 0.8491, 0.2790)  5 Pt 2.52-2.56
Pt (0.3757, 0.3757, 0.0612)  3 Si 2.52-2.56, 1 Pt 2.79
Pt (0.5000, 0.5000, 0.5000)  4 Si 2.56, 2 Pt 2.79
Pt (0.6243, 0.6243, 0.9388)  3 Si 2.52-2.56, 1 Pt 2.79

Output
**Symmetry**: C2/m (12)
**Volume**: 127.8 Å³ per cell
**Spin magnetization**: 0.00 μB/cell
**Formation energy (no corrections)**: -1.101 eV/atom

---

Material: Tl2Hg2Cl
Method: DFT, PBE
State: optimized geometry

Lattice parameters (Å, degrees): 8.5556 8.5556 4.2021 90.00 90.00 90.00
With the nearest neighbours (Å) after each atom.
Atoms (fractional coordinates):
Tl (0.1783, 0.3217, 0.0000)  6 Hg 3.14-3.39
Tl (0.3217, 0.8217, 0.0000)  6 Hg 3.14-3.39
Tl (0.6783, 0.1783, 0.0000)  6 Hg 3.14-3.39
Tl (0.8217, 0.6783, 0.0000)  6 Hg 3.14-3.39
Hg (0.1290, 0.6290, 0.5000)  1 Hg 3.12, 6 Tl 3.14-3.39, 2 Cl 3.36
Hg (0.3710, 0.1290, 0.5000)  1 Hg 3.12, 6 Tl 3.14-3.39, 2 Cl 3.36
Hg (0.6290, 0.8710, 0.5000)  1 Hg 3.12, 6 Tl 3.14-3.39, 2 Cl 3.36
Hg (0.8710, 0.3710, 0.5000)  1 Hg 3.12, 6 Tl 3.14-3.39, 2 Cl 3.36
Cl (0.0000, 0.0000, 0.5000)  4 Hg 3.36
Cl (0.5000, 0.5000, 0.5000)  4 Hg 3.36

Output
**Symmetry**: P4/mbm (127)
**Volume**: 307.6 Å³ per cell
**Spin magnetization**: 0.00 μB/cell
**Offset from the most stable computed form**: 0.0637 eV per atom
**Formation energy (no corrections)**: -0.260 eV/atom

---

Material: TaTi
Method: DFT, PBE
State: optimized geometry

Lattice parameters (Å, degrees): 2.8799 4.5438 5.4979 90.00 99.32 90.00
With the nearest neighbours (Å) after each atom.
Atoms (fractional coordinates):
Ta (0.0867, 0.2500, 0.3618)  4 Ta 2.82-2.88, 6 Ti 2.84-3.06
Ta (0.9133, 0.7500, 0.6382)  4 Ta 2.82-2.88, 6 Ti 2.84-3.06
Ti (0.4399, 0.7500, 0.1428)  4 Ti 2.81-2.88, 6 Ta 2.84-3.06
Ti (0.5601, 0.2500, 0.8572)  4 Ti 2.81-2.88, 6 Ta 2.84-3.06

Output
**Symmetry**: P2_1/m (11)
**Volume**: 71.0 Å³ per cell
**Energy of formation**: 0.0571 eV per atom
**Spin magnetization**: 0.00 μB/cell

---

Material: LaTmTlRh
Method: DFT, PBE
State: optimized geometry

Lattice parameters (Å, degrees): 5.2232 5.2232 5.2232 60.00 60.00 60.00
With the nearest neighbours (Å) after each atom.
Atoms (fractional coordinates):
La (0.0000, 0.0000, 0.0000)  4 Tl 3.20, 4 Rh 3.20
Tm (0.5000, 0.5000, 0.5000)  4 Tl 3.20, 4 Rh 3.20
Tl (0.7500, 0.7500, 0.7500)  4 La 3.20, 4 Tm 3.20
Rh (0.2500, 0.2500, 0.2500)  4 La 3.20, 4 Tm 3.20

Output
**Symmetry**: F-43m (216)
**Volume**: 100.8 Å³ per cell
**Energy of formation**: -0.4309 eV per atom
**Spin magnetization**: 0.00 μB/cell

---

Material: LaEr4Tm5
Method: DFT, PBE
State: optimized geometry

Lattice parameters (Å, degrees): 7.9516 7.9516 7.9516 97.69 97.69 137.07
With the nearest neighbours (Å) after each atom.
Atoms (fractional coordinates):
La (0.0000, 0.0000, 0.0000)  2 Tm 2.76-3.06
Er (0.0590, 0.7307, 0.3282)  3 Tm 3.26-3.64, 1 Er 3.60
Er (0.4025, 0.7307, 0.6718)  3 Tm 3.26-3.64, 1 Er 3.60
Er (0.7307, 0.0590, 0.3282)  3 Tm 3.26-3.64, 1 Er 3.60
Er (0.7307, 0.4025, 0.6718)  3 Tm 3.26-3.64, 1 Er 3.60
Tm (0.0641, 0.0641, 0.6210)  1 La 3.17, 3 Tm 3.22-3.42, 2 Er 3.26
Tm (0.0641, 0.4431, 0.0000)  1 La 3.17, 3 Tm 3.22-3.42, 2 Er 3.26
Tm (0.4431, 0.0641, 0.0000)  1 La 3.17, 3 Tm 3.22-3.42, 2 Er 3.26
Tm (0.4431, 0.4431, 0.3790)  1 La 3.17, 3 Tm 3.22-3.42, 2 Er 3.26
Tm (0.5251, 0.5251, 0.0000)  2 La 2.76-3.06

Output
**Symmetry**: I4mm (107)
**Volume**: 318.7 Å³ per cell
**Energy of formation**: 0.2904 eV per atom
**Spin magnetization**: 0.00 μB/cell
**Offset from the most stable computed form**: 0.0476 eV per atom

---

Material: NaAl2CuBr8
Method: DFT, PBE
State: optimized geometry

Lattice parameters (Å, degrees): 6.7957 6.7957 9.4533 90.00 90.00 120.00
With the nearest neighbours (Å) after each atom.
Atoms (fractional coordinates):
Na (0.0000, 0.0000, 0.0000)  12 Br 3.75-3.92
Al (0.3333, 0.6667, 0.7486)  4 Br 2.32-2.34
Al (0.6667, 0.3333, 0.2514)  4 Br 2.32-2.34
Cu (0.0000, 0.0000, 0.5000)  6 Br 2.70
Br (0.0194, 0.3245, 0.6747)  1 Al 2.34
Br (0.3051, 0.9806, 0.6747)  1 Al 2.34
Br (0.3245, 0.3051, 0.3253)  1 Al 2.34
Br (0.3333, 0.6667, 0.9937)  1 Al 2.32
Br (0.6667, 0.3333, 0.0063)  1 Al 2.32
Br (0.6755, 0.6949, 0.6747)  1 Al 2.34
Br (0.6949, 0.0194, 0.3253)  1 Al 2.34
Br (0.9806, 0.6755, 0.3253)  1 Al 2.34

Output
**Symmetry**: P-3 (147)
**Volume**: 378.1 Å³ per cell
**Spin magnetization**: 0.13 μB/cell
**Formation energy (no corrections)**: -0.979 eV/atom

---

> What is the formula in the sixth record?

LaTmTlRh